Crystalline ZrAg3I at its relaxed geometry, computed with PBE-GGA.

Lattice parameters (Å, degrees): 5.4475 5.4475 5.4475 90.00 90.00 90.00
Sites, in units of the cell vectors:
Zr 0.0000 0.0000 0.0000
I 0.5000 0.5000 0.5000
Ag 0.0000 0.5000 0.0000
Ag 0.0000 0.0000 0.5000
Ag 0.5000 0.0000 0.0000

Output
Raw formation energy in eV per formula unit: 5.2
N(E_F) in states/eV/atom: 0.769
Calculated total energy in eV per atom: -2.686
Energy above the most stable polymorph in this dataset in eV per atom: 0.000
Symmetry: Pm-3m (221)

***

Crystalline ZnP2Ru at its relaxed geometry, computed with PBE-GGA.

Lattice parameters (Å, degrees): 2.8842 2.8842 6.9449 90.00 90.00 90.00
Sites, in units of the cell vectors:
P 0.0000 0.0000 0.4669
P 0.0000 0.0000 0.0331
Zn 0.5000 0.5000 0.7500
Ru 0.5000 0.5000 0.2500

Output
N(E_F) in states/eV/atom: 0.484
DFT formation energy in meV/atom: 1
Calculated total energy in eV per atom: -5.341
Symmetry: P4/mmm (123)

***

Crystalline Rb3Nd3SmTe8 at its relaxed geometry, computed with PBE-GGA.

Lattice parameters (Å, degrees): 9.0959 9.1002 10.2690 116.34 90.00 119.97
Sites, in units of the cell vectors:
Sm 0.0000 0.0000 0.5000
Te 0.7664 0.0305 0.2971
Te 0.7359 0.9695 0.7029
Te 0.7354 0.4707 0.7060
Te 0.2336 0.4672 0.7029
Te 0.7664 0.5328 0.2971
Te 0.2641 0.0305 0.2971
Te 0.2646 0.5293 0.2940
Te 0.2336 0.9695 0.7029
Nd 0.5000 0.5000 0.5000
Nd 0.0000 0.5000 0.5000
Nd 0.5000 0.0000 0.5000
Rb 0.0000 0.5000 0.0000
Rb 0.5000 0.5000 0.0000
Rb 0.0000 0.0000 0.0000

Output
Raw formation energy in eV per formula unit: -19.9
N(E_F) in states/eV/atom: 0.597
Calculated total energy in eV per atom: -4.463
Symmetry: C2/m (12)

***

Crystalline PmY3Th at its relaxed geometry, computed with PBE-GGA.

Lattice parameters (Å, degrees): 3.4378 8.7213 8.7213 136.66 90.00 90.00
Sites, in units of the cell vectors:
Y 0.0000 0.2262 0.7738
Y 0.5000 0.1475 0.3744
Y 0.5000 0.6256 0.8525
Pm 0.5000 0.0511 0.9489
Th 0.0000 0.5776 0.4224

Output
N(E_F) in states/eV/atom: 1.693
DFT formation energy in meV/atom: 432
Calculated total energy in eV per atom: -5.880
Energy above the most stable polymorph in this dataset in eV per atom: 0.292
Symmetry: Amm2 (38)

***

Crystalline FeHg2Ir at its relaxed geometry, computed with PBE-GGA.

Lattice parameters (Å, degrees): 5.4029 5.4029 4.8231 71.52 71.52 32.34
Sites, in units of the cell vectors:
Ir 0.5297 0.5297 0.5010
Hg 0.9799 0.9799 0.0402
Hg 0.7663 0.7663 0.7126
Fe 0.2241 0.2241 0.2462

Output
N(E_F) in states/eV/atom: 0.756
DFT formation energy in meV/atom: 439
Calculated total energy in eV per atom: -4.042
Energy above the most stable polymorph in this dataset in eV per atom: 0.156
Symmetry: Cm (8)

***

Crystalline CrRu2Br at its relaxed geometry, computed with PBE-GGA.

Lattice parameters (Å, degrees): 3.0068 3.0068 6.8335 90.00 90.00 90.00
Sites, in units of the cell vectors:
Cr 0.5000 0.5000 0.7500
Ru 0.0000 0.0000 0.5442
Ru 0.0000 0.0000 0.9558
Br 0.5000 0.5000 0.2500

Output
Raw formation energy in eV per formula unit: 2.2
N(E_F) in states/eV/atom: 1.596
Calculated total energy in eV per atom: -6.914
Energy above the most stable polymorph in this dataset in eV per atom: 0.032
Symmetry: P4/mmm (123)

***

Crystalline Zr3S2Cl4 at its relaxed geometry, computed with PBE-GGA.

Lattice parameters (Å, degrees): 3.4859 3.4859 25.4061 90.00 90.00 120.00
Sites, in units of the cell vectors:
Zr 0.0000 0.0000 0.2694
Zr 0.6667 0.3333 0.0000
Zr 0.0000 0.0000 0.7306
Cl 0.6667 0.3333 0.3363
Cl 0.6667 0.3333 0.7968
Cl 0.6667 0.3333 0.6637
Cl 0.6667 0.3333 0.2032
S 0.0000 0.0000 0.0632
S 0.0000 0.0000 0.9368

Output
Raw formation energy in eV per formula unit: -13.9
N(E_F) in states/eV/atom: 0.280
Calculated total energy in eV per atom: -6.128
Symmetry: P-6m2 (187)

***

Crystalline Hg2GeO at its relaxed geometry, computed with PBE-GGA.

Lattice parameters (Å, degrees): 4.7233 4.7233 4.7233 60.00 60.00 60.00
Sites, in units of the cell vectors:
Hg 0.2500 0.2500 0.2500
Hg 0.7500 0.7500 0.7500
O 0.0000 0.0000 0.0000
Ge 0.5000 0.5000 0.5000

Output
Raw formation energy in eV per formula unit: 1.7
N(E_F) in states/eV/atom: 0.320
Calculated total energy in eV per atom: -2.129
Energy above the most stable polymorph in this dataset in eV per atom: 0.305
Symmetry: Fm-3m (225)